Computed, not measured: an optimized crystal structure of RbSnTe2I at the PBE level of DFT.

Cell: 6.180 6.180 6.410 Å, 90.00 90.00 90.00°
Space group P4/mmm (No. 123)
Inequivalent atoms, fractional coordinates:
Rb: 0.000 0.000 0.000 [1 per cell]
Sn: 0.500 0.500 0.500 [1 per cell]
Te: 0.000 0.500 0.000 [2 per cell]
I: 0.000 0.000 0.500 [1 per cell]

Computed properties:
- Magnetization: 0.00 μB per cell
- Energy relative to the elements, uncorrected: 0.615 eV per atom
- Polymorph energy (0 for the lowest one): 1020 meV/atom

Computed, not measured: an optimized crystal structure of ZrMnIr at the PBE level of DFT.

Cell: 6.234 6.234 6.234 Å, 90.00 90.00 90.00°
Space group F-43m (No. 216)
Inequivalent atoms, fractional coordinates:
Zr: 0.000 0.000 0.000 [4 per cell]
Mn: 0.000 0.000 0.500 [4 per cell]
Ir: 0.250 0.250 0.250 [4 per cell]

Computed properties:
- Magnetization: 15.45 μB per cell
- ΔE_f: -0.17 eV/atom

Computed, not measured: an optimized crystal structure of MgPS2N at the PBE level of DFT.

Cell: 4.747 4.747 5.172 Å, 90.00 90.00 90.00°
Space group P4/mmm (No. 123)
Inequivalent atoms, fractional coordinates:
Mg: 0.000 0.000 0.000 [1 per cell]
P: 0.000 0.000 0.500 [1 per cell]
S: 0.000 0.500 0.000 [2 per cell]
N: 0.500 0.500 0.500 [1 per cell]

Computed properties:
- Magnetization: 2.41 μB per cell
- Energy relative to the elements, uncorrected: 1.595 eV per atom
- Polymorph energy (0 for the lowest one): 1528 meV/atom

Computed, not measured: an optimized crystal structure of PmGdSnTe at the PBE level of DFT.

Cell: 7.717 7.717 7.717 Å, 90.00 90.00 90.00°
Space group F-43m (No. 216)
Inequivalent atoms, fractional coordinates:
Pm: 0.000 0.000 0.000 [4 per cell]
Gd: 0.000 0.000 0.500 [4 per cell]
Sn: 0.250 0.250 0.250 [4 per cell]
Te: 0.250 0.250 0.750 [4 per cell]

Computed properties:
- Magnetization: 29.07 μB per cell
- Energy relative to the elements, uncorrected: -0.846 eV per atom

Computed, not measured: an optimized crystal structure of CsNaTl2Br4 at the PBE level of DFT.

Cell: 8.264 4.807 8.344 Å, 90.00 109.51 90.00°
Space group P2/m (No. 10)
Inequivalent atoms, fractional coordinates:
Cs: 0.000 0.000 0.000 [1 per cell]
Na: 0.000 0.500 0.500 [1 per cell]
Tl: 0.500 0.000 0.500 [1 per cell]
Tl: 0.500 0.500 0.000 [1 per cell]
Br: 0.245 0.000 0.732 [2 per cell]
Br: 0.245 0.500 0.284 [2 per cell]

Computed properties:
- Magnetization: 0.00 μB per cell
- Energy relative to the elements, uncorrected: -1.221 eV per atom

Computed, not measured: an optimized crystal structure of RePPt2 at the PBE level of DFT.

Cell: 2.954 4.187 9.729 Å, 90.00 90.00 90.00°
Space group Imm2 (No. 44)
Inequivalent atoms, fractional coordinates:
Re: 0.000 0.000 0.000 [2 per cell]
P: 0.000 0.500 0.312 [2 per cell]
Pt: 0.000 0.000 0.606 [2 per cell]
Pt: 0.000 0.500 0.794 [2 per cell]

Computed properties:
- Magnetization: 0.00 μB per cell
- ΔE_f: 0.03 eV/atom
- Polymorph energy (0 for the lowest one): 120 meV/atom

Computed, not measured: an optimized crystal structure of K2MgCr at the PBE level of DFT.

Cell: 3.922 3.922 10.397 Å, 90.00 90.00 90.00°
Space group P4mm (No. 99)
Inequivalent atoms, fractional coordinates:
K: 0.000 0.000 0.000 [1 per cell]
K: 0.500 0.500 0.388 [1 per cell]
Mg: 0.000 0.000 0.653 [1 per cell]
Cr: 0.500 0.500 0.743 [1 per cell]

Computed properties:
- Magnetization: 4.55 μB per cell
- ΔE_f: 0.56 eV/atom

Computed, not measured: an optimized crystal structure of TcRu2Rh8 at the PBE level of DFT.

Cell: 13.861 3.831 6.068 Å, 90.00 105.15 90.00°
Space group C2/m (No. 12)
Inequivalent atoms, fractional coordinates:
Tc: 0.000 0.000 0.000 [2 per cell]
Ru: 0.225 0.500 0.629 [4 per cell]
Rh: 0.047 0.500 0.730 [4 per cell]
Rh: 0.094 0.000 0.449 [4 per cell]
Rh: 0.135 0.500 0.183 [4 per cell]
Rh: 0.182 0.000 0.915 [4 per cell]

Computed properties:
- Magnetization: 0.00 μB per cell
- ΔE_f: -0.02 eV/atom
- Polymorph energy (0 for the lowest one): 0 meV/atom